Record 1
B4Ru2Rh PBE optimized geometry; spin magnetization = 0.000 μB/f.u.; density of states at the Fermi level = 0.728 states/eV/atom; energy of formation = 883 meV/atom; space-group type = I4/mmm, No. 139
1.0
3.931 0.000 0.000
0.000 3.931 0.000
0.000 0.000 10.867
B Ru Rh
8 4 2
Direct
0.000 0.000 0.195
0.000 0.000 0.805
0.000 0.500 0.000
0.000 0.500 0.500
0.500 0.000 0.000
0.500 0.000 0.500
0.500 0.500 0.305
0.500 0.500 0.695
0.000 0.000 0.375
0.000 0.000 0.625
0.500 0.500 0.125
0.500 0.500 0.875
0.000 0.000 0.000
0.500 0.500 0.500


Record 2
La3CO PBE optimized geometry; spin magnetization = 0.000 μB/f.u.; density of states at the Fermi level = 0.796 states/eV/atom; E_form (uncorrected) = -0.43 eV per atom; relative energy among the computed polymorphs = 0.665 eV per atom; space-group type = Pm-3m, No. 221
1.0
4.826 0.000 0.000
0.000 4.826 0.000
0.000 0.000 4.826
La C O
3 1 1
Direct
0.000 0.000 0.500
0.000 0.500 0.000
0.500 0.000 0.000
0.500 0.500 0.500
0.000 0.000 0.000


Record 3
Cs2K2Au PBE optimized geometry; spin magnetization = 0.000 μB/f.u.; density of states at the Fermi level = 0.738 states/eV/atom; relative energy among the computed polymorphs = 0.009 eV per atom; energy of formation = -116 meV/atom; space-group type = C2/c, No. 15
1.0
8.524 -4.366 0.000
8.524 4.366 0.000
-2.135 0.000 8.502
Cs K Au
4 4 2
Direct
0.066 0.190 0.107
0.190 0.066 0.607
0.810 0.934 0.393
0.934 0.810 0.893
0.332 0.455 0.515
0.455 0.332 0.015
0.545 0.668 0.985
0.668 0.545 0.485
0.249 0.751 0.250
0.751 0.249 0.750


Record 4
Ag3BSe PBE optimized geometry; spin magnetization = 0.000 μB/f.u.; density of states at the Fermi level = 0.425 states/eV/atom; E_form (uncorrected) = 1.25 eV per atom; relative energy among the computed polymorphs = 0.643 eV per atom; space-group type = Pm-3m, No. 221
1.0
5.035 0.000 0.000
0.000 5.035 0.000
0.000 0.000 5.035
Ag B Se
3 1 1
Direct
0.000 0.000 0.500
0.000 0.500 0.000
0.500 0.000 0.000
0.500 0.500 0.500
0.000 0.000 0.000